(1)
# SbIrBr2, optimized geometry, DFT GGA-PBEsol
# polymorph energy (0 for the lowest one) = 0.9240 eV per atom
# uncorrected formation energy = 351 kJ/mol of formula units
data_SbIrBr2
_cell_length_a 4.4920
_cell_length_b 4.4920
_cell_length_c 4.0416
_cell_angle_alpha 90.00
_cell_angle_beta 90.00
_cell_angle_gamma 90.00
_symmetry_space_group_name_H-M 'P 4/m m m'
_symmetry_Int_Tables_number 123
_symmetry_space_group_name_Hall '-P 4 2'
loop_
_atom_site_label
_atom_site_type_symbol
_atom_site_fract_x
_atom_site_fract_y
_atom_site_fract_z
Sb1 Sb 0.0000 0.0000 0.0000
Ir1 Ir 0.5000 0.5000 0.0000
Br1 Br 0.0000 0.5000 0.5000

(2)
# MnPIr2, optimized geometry, DFT GGA-PBEsol
# energy of formation = 0.24 eV per formula unit
data_MnPIr2
_cell_length_a 5.9857
_cell_length_b 5.9857
_cell_length_c 5.9857
_cell_angle_alpha 90.00
_cell_angle_beta 90.00
_cell_angle_gamma 90.00
_symmetry_space_group_name_H-M 'F m -3 m'
_symmetry_Int_Tables_number 225
_symmetry_space_group_name_Hall '-F 4 2 3'
loop_
_atom_site_label
_atom_site_type_symbol
_atom_site_fract_x
_atom_site_fract_y
_atom_site_fract_z
Mn1 Mn 0.0000 0.0000 0.0000
P1 P 0.0000 0.0000 0.5000
Ir1 Ir 0.2500 0.2500 0.2500

(3)
# Cd5Hg3, optimized geometry, DFT GGA-PBEsol
# polymorph energy (0 for the lowest one) = 0.0335 eV per atom
# energy of formation = 0.24 eV per formula unit
data_Cd5Hg3
_cell_length_a 8.5157
_cell_length_b 8.5157
_cell_length_c 5.6197
_cell_angle_alpha 90.00
_cell_angle_beta 90.00
_cell_angle_gamma 120.00
_symmetry_space_group_name_H-M 'P 63/m c m'
_symmetry_Int_Tables_number 193
_symmetry_space_group_name_Hall '-P 6c 2'
loop_
_atom_site_label
_atom_site_type_symbol
_atom_site_fract_x
_atom_site_fract_y
_atom_site_fract_z
Cd1 Cd 0.0000 0.2161 0.2500
Cd2 Cd 0.3333 0.6667 0.0000
Hg1 Hg 0.0000 0.3969 0.7500

Number 1: raw total energy -3.62 eV per atom, Fermi-level density of states 3.32 states/eV per cell. Number 2: raw total energy -8.74 eV per atom, Fermi-level density of states 12.68 states/eV per cell. Number 3: raw total energy -0.93 eV per atom, Fermi-level density of states 6.23 states/eV per cell.